Computed, not measured: a relaxed Ti2GaCoC crystal at the GGA-PBE level of DFT.

Properties
space-group type	P4/mmm
energy	-37.334	eV for the cell shown
magnetization	0.021	μB per formula unit
DFT formation energy	-211	kJ/mol of formula units

POSCAR file:
```
Ti2GaCoC
1.0
4.161 0.000 0.000
0.000 4.161 0.000
0.000 0.000 3.768
Ti Ga Co C
2 1 1 1
Direct
0.000 0.500 0.000
0.500 0.000 0.000
0.000 0.000 0.500
0.500 0.500 0.500
0.500 0.500 0.000
```

=====

Computed, not measured: a relaxed Tm2Ga2Co2C crystal at the GGA-PBE level of DFT.

Properties
space-group type	C2/m
energy	-84.114	eV for the cell shown
magnetization	0.000	μB per formula unit
DFT formation energy	-350	kJ/mol of formula units

POSCAR file:
```
Tm2Ga2Co2C
1.0
10.687 0.000 0.000
0.000 3.900 0.000
-4.220 0.000 5.368
Tm Ga Co C
4 4 4 2
Direct
0.054 0.000 0.282
0.446 0.500 0.718
0.554 0.500 0.282
0.946 0.000 0.718
0.158 0.500 0.700
0.342 0.000 0.300
0.658 0.000 0.700
0.842 0.500 0.300
0.194 0.500 0.088
0.306 0.000 0.912
0.694 0.000 0.088
0.806 0.500 0.912
0.000 0.500 0.000
0.500 0.000 0.000
```

=====

Computed, not measured: a relaxed UGaCo2C crystal at the GGA-PBE level of DFT.

Properties
space-group type	Cmcm
energy	-77.150	eV for the cell shown
magnetization	1.648	μB per formula unit
DFT formation energy	-80	kJ/mol of formula units

POSCAR file:
```
UGaCo2C
1.0
1.849 -5.491 0.000
1.849 5.491 0.000
0.000 0.000 6.731
U Ga Co C
2 2 4 2
Direct
0.056 0.944 0.750
0.944 0.056 0.250
0.222 0.778 0.250
0.778 0.222 0.750
0.340 0.660 0.550
0.340 0.660 0.950
0.660 0.340 0.050
0.660 0.340 0.450
0.500 0.500 0.000
0.500 0.500 0.500
```

=====

Computed, not measured: a relaxed VGaCo2C crystal at the GGA-PBE level of DFT.

Properties
space-group type	P4/mmm
energy	-36.244	eV for the cell shown
magnetization	2.918	μB per formula unit
DFT formation energy	-64	kJ/mol of formula units

POSCAR file:
```
VGaCo2C
1.0
3.793 0.000 0.000
0.000 3.793 0.000
0.000 0.000 3.954
V Ga Co C
1 1 2 1
Direct
0.000 0.000 0.000
0.500 0.500 0.000
0.000 0.500 0.500
0.500 0.000 0.500
0.000 0.000 0.500
```

=====

Computed, not measured: a relaxed Y2GaCoC crystal at the GGA-PBE level of DFT.

Properties
space-group type	P4/mmm
energy	-34.382	eV for the cell shown
magnetization	0.000	μB per formula unit
DFT formation energy	-202	kJ/mol of formula units

POSCAR file:
```
Y2GaCoC
1.0
5.009 0.000 0.000
0.000 5.009 0.000
0.000 0.000 3.650
Y Ga Co C
2 1 1 1
Direct
0.000 0.500 0.000
0.500 0.000 0.000
0.000 0.000 0.500
0.500 0.500 0.500
0.500 0.500 0.000
```

=====

Computed, not measured: a relaxed Y2GaCoC crystal at the GGA-PBE level of DFT.

Properties
space-group type	P2_1/m
energy	-68.363	eV for the cell shown
magnetization	0.000	μB per formula unit
DFT formation energy	-183	kJ/mol of formula units

POSCAR file:
```
Y2GaCoC
1.0
6.202 0.000 0.000
0.000 3.928 0.000
-2.809 0.000 7.825
Y Ga Co C
4 2 2 2
Direct
0.219 0.250 0.468
0.224 0.250 0.882
0.776 0.750 0.118
0.781 0.750 0.532
0.296 0.750 0.199
0.704 0.250 0.801
0.495 0.750 0.757
0.505 0.250 0.243
0.193 0.750 0.671
0.807 0.250 0.329
```

=====

Computed, not measured: a relaxed ZrGaCo2C crystal at the GGA-PBE level of DFT.

Properties
space-group type	Cmcm
energy	-73.261	eV for the cell shown
magnetization	0.000	μB per formula unit
DFT formation energy	-156	kJ/mol of formula units

POSCAR file:
```
ZrGaCo2C
1.0
1.767 -5.341 0.000
1.767 5.341 0.000
0.000 0.000 6.847
Zr Ga Co C
2 2 4 2
Direct
0.041 0.959 0.750
0.959 0.041 0.250
0.236 0.764 0.250
0.764 0.236 0.750
0.340 0.660 0.555
0.340 0.660 0.945
0.660 0.340 0.055
0.660 0.340 0.445
0.500 0.500 0.000
0.500 0.500 0.500
```

=====

Computed, not measured: a relaxed GdCo2C crystal at the GGA-PBE level of DFT.

Properties
space-group type	R-3m
energy	-110.543	eV for the cell shown
magnetization	7.049	μB per formula unit
DFT formation energy	65	kJ/mol of formula units

POSCAR file:
```
GdCo2C
1.0
3.499 0.000 0.000
-1.750 3.030 0.000
0.000 0.000 15.062
Gd Co C
3 6 3
Direct
0.000 0.000 0.000
0.333 0.667 0.667
0.667 0.333 0.333
0.000 0.000 0.201
0.000 0.000 0.799
0.333 0.667 0.466
0.333 0.667 0.867
0.667 0.333 0.133
0.667 0.333 0.534
0.000 0.000 0.500
0.333 0.667 0.167
0.667 0.333 0.833
```

=====

Computed, not measured: a relaxed GdCoC2 crystal at the GGA-PBE level of DFT.

Properties
space-group type	Amm2
energy	-81.821	eV for the cell shown
magnetization	6.982	μB per formula unit
DFT formation energy	-123	kJ/mol of formula units

POSCAR file:
```
GdCoC2
1.0
3.651 0.000 0.000
0.000 4.523 0.000
0.000 0.000 6.015
Gd Co C
2 2 4
Direct
0.000 0.000 0.000
0.000 0.500 0.500
0.500 0.000 0.618
0.500 0.500 0.118
0.500 0.152 0.307
0.500 0.348 0.807
0.500 0.652 0.807
0.500 0.848 0.307
```

=====

Computed, not measured: a relaxed CoGe3C crystal at the GGA-PBE level of DFT.

Properties
space-group type	Pm-3m
energy	-23.983	eV for the cell shown
magnetization	1.014	μB per formula unit
DFT formation energy	598	kJ/mol of formula units

POSCAR file:
```
CoGe3C
1.0
4.453 0.000 0.000
0.000 4.453 0.000
0.000 0.000 4.453
Co Ge C
1 3 1
Direct
0.000 0.000 0.000
0.000 0.000 0.500
0.000 0.500 0.000
0.500 0.000 0.000
0.500 0.500 0.500
```

=====

Computed, not measured: a relaxed CoGe3C crystal at the GGA-PBE level of DFT.

Properties
space-group type	Pm-3m
energy	-24.431	eV for the cell shown
magnetization	0.001	μB per formula unit
DFT formation energy	555	kJ/mol of formula units

POSCAR file:
```
CoGe3C
1.0
4.209 0.000 0.000
0.000 4.209 0.000
0.000 0.000 4.209
Co Ge C
1 3 1
Direct
0.000 0.000 0.000
0.000 0.500 0.500
0.500 0.000 0.500
0.500 0.500 0.000
0.500 0.500 0.500
```

=====

Computed, not measured: a relaxed Co2GeC crystal at the GGA-PBE level of DFT.

Properties
space-group type	Fm-3m
energy	-98.090	eV for the cell shown
magnetization	1.587	μB per formula unit
DFT formation energy	341	kJ/mol of formula units

POSCAR file:
```
Co2GeC
1.0
5.496 0.000 0.000
0.000 5.496 0.000
0.000 0.000 5.496
Co Ge C
8 4 4
Direct
0.250 0.250 0.250
0.250 0.250 0.750
0.250 0.750 0.250
0.250 0.750 0.750
0.750 0.250 0.250
0.750 0.250 0.750
0.750 0.750 0.250
0.750 0.750 0.750
0.000 0.000 0.000
0.000 0.500 0.500
0.500 0.000 0.500
0.500 0.500 0.000
0.000 0.000 0.500
0.000 0.500 0.000
0.500 0.000 0.000
0.500 0.500 0.500
```